CsSrMoO4, relaxed, DFT PBE with a Hubbard U; final energy = -0.229 hartree per atom; SG = P2_1/m
1.0
6.494 0.000 0.000
0.000 6.372 0.000
-2.152 0.000 7.737
Cs Sr Mo O
2 2 2 8
direct
0.229 0.250 0.437
0.771 0.750 0.563
0.316 0.250 0.954
0.684 0.750 0.046
0.214 0.750 0.148
0.786 0.250 0.852
0.040 0.750 0.929
0.066 0.750 0.314
0.424 0.532 0.171
0.424 0.968 0.171
0.576 0.032 0.829
0.576 0.468 0.829
0.934 0.250 0.686
0.960 0.250 0.071